ScTlFeNi after structural relaxation, computed with PBE. Values from VASP.

Computed properties:
Energy above the lowest structure with this stoichiometry, eV per formula unit: 0.53
Calculated density, Mg/m³: 9.11
Symmetry: F-43m, No. 216

Cell and atoms, written as Quantum ESPRESSO input:
```
&SYSTEM
  ibrav = 0, nat = 16, ntyp = 4
/
ATOMIC_SPECIES
Sc 44.96 Sc.upf
Tl 204.38 Tl.upf
Fe 55.84 Fe.upf
Ni 58.69 Ni.upf
ATOMIC_POSITIONS crystal
Sc 0.000 0.000 0.000
Sc 0.000 0.500 0.500
Sc 0.500 0.000 0.500
Sc 0.500 0.500 0.000
Tl 0.250 0.250 0.250
Tl 0.250 0.750 0.750
Tl 0.750 0.250 0.750
Tl 0.750 0.750 0.250
Fe 0.250 0.250 0.750
Fe 0.250 0.750 0.250
Fe 0.750 0.250 0.250
Fe 0.750 0.750 0.750
Ni 0.000 0.000 0.500
Ni 0.000 0.500 0.000
Ni 0.500 0.000 0.000
Ni 0.500 0.500 0.500
CELL_PARAMETERS angstrom
6.426 0.000 0.000
0.000 6.426 0.000
0.000 0.000 6.426
```